(1)
A plane-wave DFT calculation with PBE was carried out for crystalline ScBePt at its relaxed geometry.

abc: 6.0239 6.0239 6.0239
angles: 90.00 90.00 90.00
With the nearest neighbours (Å) after each atom.
Sites, in units of the cell vectors:
Sc: 0.0000 0.0000 0.0000  4 Pt 2.61
Sc: 0.0000 0.5000 0.5000  4 Pt 2.61
Sc: 0.5000 0.0000 0.5000  4 Pt 2.61
Sc: 0.5000 0.5000 0.0000  4 Pt 2.61
Be: 0.0000 0.0000 0.5000  4 Pt 2.61
Be: 0.0000 0.5000 0.0000  4 Pt 2.61
Be: 0.5000 0.0000 0.0000  4 Pt 2.61
Be: 0.5000 0.5000 0.5000  4 Pt 2.61
Pt: 0.2500 0.2500 0.2500  4 Be 2.61, 4 Sc 2.61
Pt: 0.2500 0.7500 0.7500  4 Be 2.61, 4 Sc 2.61
Pt: 0.7500 0.2500 0.7500  4 Be 2.61, 4 Sc 2.61
Pt: 0.7500 0.7500 0.2500  4 Be 2.61, 4 Sc 2.61

excess energy over the best structure of this formula in the dataset	301.8	meV/atom
space group	F-43m
crystal system	cubic

***

(2)
A plane-wave DFT calculation with PBE was carried out for crystalline ScBe2Pt2 at its relaxed geometry.

abc: 6.9517 6.9517 2.7658
angles: 90.00 90.00 90.00
With the nearest neighbours (Å) after each atom.
Sites, in units of the cell vectors:
Sc: 0.0000 0.0000 0.0000  2 Sc 2.77, 4 Be 2.79, 8 Pt 2.91
Sc: 0.5000 0.5000 0.0000  2 Sc 2.77, 4 Be 2.79, 8 Pt 2.91
Be: 0.1156 0.3844 0.0000  1 Be 2.27, 6 Pt 2.47-2.49
Be: 0.3844 0.8844 0.0000  1 Be 2.27, 6 Pt 2.47-2.49
Be: 0.6156 0.1156 0.0000  1 Be 2.27, 6 Pt 2.47-2.49
Be: 0.8844 0.6156 0.0000  1 Be 2.27, 6 Pt 2.47-2.49
Pt: 0.1762 0.6762 0.5000  6 Be 2.47-2.49, 2 Pt 2.77
Pt: 0.3238 0.1762 0.5000  6 Be 2.47-2.49, 2 Pt 2.77
Pt: 0.6762 0.8238 0.5000  6 Be 2.47-2.49, 2 Pt 2.77
Pt: 0.8238 0.3238 0.5000  6 Be 2.47-2.49, 2 Pt 2.77

excess energy over the best structure of this formula in the dataset	14.1	meV/atom
space group	P4/mbm
crystal system	tetragonal

***

(3)
A plane-wave DFT calculation with PBE was carried out for crystalline ScBePt2 at its relaxed geometry.

abc: 4.1844 2.9670 9.9098
angles: 90.00 90.00 90.00
With the nearest neighbours (Å) after each atom.
Sites, in units of the cell vectors:
Sc: 0.0000 0.0000 0.0000  7 Pt 2.70-2.81, 4 Be 2.90, 2 Sc 2.97
Sc: 0.0000 0.5000 0.5000  7 Pt 2.70-2.81, 4 Be 2.90, 2 Sc 2.97
Be: 0.5000 0.0000 0.6366  3 Pt 2.28-2.50
Be: 0.5000 0.5000 0.1366  3 Pt 2.28-2.50
Pt: 0.0000 0.0000 0.7280  2 Be 2.28
Pt: 0.0000 0.5000 0.2280  2 Be 2.28
Pt: 0.5000 0.0000 0.3846  1 Be 2.50
Pt: 0.5000 0.5000 0.8846  1 Be 2.50

excess energy over the best structure of this formula in the dataset	189.3	meV/atom
space group	Amm2
crystal system	orthorhombic

***

(4)
A plane-wave DFT calculation with PBE was carried out for crystalline Sc2Be2Pt at its relaxed geometry.

abc: 6.4304 6.4304 3.6583
angles: 90.00 90.00 90.00
With the nearest neighbours (Å) after each atom.
Sites, in units of the cell vectors:
Sc: 0.1782 0.3218 0.0000  6 Be 2.59-2.68
Sc: 0.3218 0.8218 0.0000  6 Be 2.59-2.68
Sc: 0.6782 0.1782 0.0000  6 Be 2.59-2.68
Sc: 0.8218 0.6782 0.0000  6 Be 2.59-2.68
Be: 0.1198 0.6198 0.5000  1 Be 2.18
Be: 0.3802 0.1198 0.5000  1 Be 2.18
Be: 0.6198 0.8802 0.5000  1 Be 2.18
Be: 0.8802 0.3802 0.5000  1 Be 2.18
Pt: 0.0000 0.0000 0.5000  4 Be 2.56
Pt: 0.5000 0.5000 0.5000  4 Be 2.56

E	-57.58	eV for the cell shown
space group	P4/mbm
crystal system	tetragonal

***

(5)
A plane-wave DFT calculation with PBE was carried out for crystalline ScBePt at its relaxed geometry.

abc: 4.8809 5.3764 6.8359
angles: 90.00 90.00 90.00
With the nearest neighbours (Å) after each atom.
Sites, in units of the cell vectors:
Sc: 0.0000 0.2500 0.1194  6 Be 2.80-3.08, 6 Pt 2.90-2.93, 2 Sc 3.02
Sc: 0.0000 0.7500 0.8806  6 Be 2.80-3.08, 6 Pt 2.90-2.93, 2 Sc 3.02
Sc: 0.5000 0.2500 0.3806  6 Be 2.80-3.08, 6 Pt 2.90-2.93, 2 Sc 3.02
Sc: 0.5000 0.7500 0.6194  6 Be 2.80-3.08, 6 Pt 2.90-2.93, 2 Sc 3.02
Be: 0.2500 0.2500 0.7500  2 Be 2.44, 4 Pt 2.49
Be: 0.2500 0.7500 0.2500  2 Be 2.44, 4 Pt 2.49
Be: 0.7500 0.2500 0.7500  2 Be 2.44, 4 Pt 2.49
Be: 0.7500 0.7500 0.2500  2 Be 2.44, 4 Pt 2.49
Pt: 0.0000 0.0000 0.5000  4 Be 2.49, 2 Pt 2.69
Pt: 0.0000 0.5000 0.5000  4 Be 2.49, 2 Pt 2.69
Pt: 0.5000 0.0000 0.0000  4 Be 2.49, 2 Pt 2.69
Pt: 0.5000 0.5000 0.0000  4 Be 2.49, 2 Pt 2.69

excess energy over the best structure of this formula in the dataset	0.0	meV/atom
space group	Imma
crystal system	orthorhombic

***

(6)
A plane-wave DFT calculation with PBE was carried out for crystalline Sc2BePt at its relaxed geometry.

abc: 3.2767 4.4921 9.4772
angles: 90.00 90.00 90.00
With the nearest neighbours (Å) after each atom.
Sites, in units of the cell vectors:
Sc: 0.0000 0.0000 0.0000  4 Pt 2.80, 2 Be 3.04, 2 Sc 3.05
Sc: 0.0000 0.5000 0.2170  4 Be 2.85, 2 Pt 2.93, 4 Sc 3.05-3.14
Sc: 0.5000 0.0000 0.7170  4 Be 2.85, 2 Pt 2.93, 4 Sc 3.05-3.14
Sc: 0.5000 0.5000 0.5000  4 Pt 2.80, 2 Be 3.04, 2 Sc 3.05
Be: 0.0000 0.5000 0.7846  2 Pt 2.34
Be: 0.5000 0.0000 0.2846  2 Pt 2.34
Pt: 0.0000 0.0000 0.4608  2 Be 2.34
Pt: 0.5000 0.5000 0.9608  2 Be 2.34

E	-49.23	eV for the cell shown
space group	Imm2
crystal system	orthorhombic

***

(7)
A plane-wave DFT calculation with PBE was carried out for crystalline ScBe2Pt at its relaxed geometry.

abc: 4.0599 4.0599 15.8113
angles: 90.00 90.00 90.00
With the nearest neighbours (Å) after each atom.
Sites, in units of the cell vectors:
Sc: 0.0000 0.2500 0.3750  4 Pt 2.87, 8 Be 3.01
Sc: 0.0000 0.7500 0.6250  4 Pt 2.87, 8 Be 3.01
Sc: 0.5000 0.2500 0.1250  4 Pt 2.87, 8 Be 3.01
Sc: 0.5000 0.7500 0.8750  4 Pt 2.87, 8 Be 3.01
Be: 0.0000 0.0000 0.0000  2 Be 2.03, 2 Pt 2.22
Be: 0.0000 0.5000 0.0000  2 Be 2.03, 2 Pt 2.22
Be: 0.2500 0.2500 0.7500  2 Be 2.03, 2 Pt 2.22
Be: 0.2500 0.7500 0.2500  2 Be 2.03, 2 Pt 2.22
Be: 0.5000 0.0000 0.5000  2 Be 2.03, 2 Pt 2.22
Be: 0.5000 0.5000 0.5000  2 Be 2.03, 2 Pt 2.22
Be: 0.7500 0.2500 0.7500  2 Be 2.03, 2 Pt 2.22
Be: 0.7500 0.7500 0.2500  2 Be 2.03, 2 Pt 2.22
Pt: 0.0000 0.2500 0.8750  4 Be 2.22
Pt: 0.0000 0.7500 0.1250  4 Be 2.22
Pt: 0.5000 0.2500 0.6250  4 Be 2.22
Pt: 0.5000 0.7500 0.3750  4 Be 2.22

excess energy over the best structure of this formula in the dataset	378.5	meV/atom
space group	I4_1/amd
crystal system	tetragonal

***

(8)
A plane-wave DFT calculation with PBE was carried out for crystalline ScBePt at its relaxed geometry.

abc: 3.2147 3.2147 8.8949
angles: 90.00 90.00 90.00
With the nearest neighbours (Å) after each atom.
Sites, in units of the cell vectors:
Sc: 0.0000 0.0000 0.0000  5 Be 2.71-2.86, 5 Pt 2.73-2.85
Sc: 0.5000 0.5000 0.5000  5 Be 2.71-2.86, 5 Pt 2.73-2.85
Be: 0.0000 0.0000 0.6957  4 Pt 2.48, 1 Sc 2.71
Be: 0.5000 0.5000 0.1957  4 Pt 2.48, 1 Sc 2.71
Pt: 0.0000 0.0000 0.3074  4 Be 2.48, 1 Sc 2.73
Pt: 0.5000 0.5000 0.8074  4 Be 2.48, 1 Sc 2.73

excess energy over the best structure of this formula in the dataset	109.5	meV/atom
space group	I4mm
crystal system	tetragonal